Record 1
# Rb2Te2Pt, relaxed, DFT GGA-PBE
data_Rb2Te2Pt
_chemical_formula_sum 'Rb4 Te4 Pt2'
_space_group_name_H-M_alt 'P 1'
_space_group_IT_number 1
_space_group_name_Hall 'P 1'
_cell_length_a 7.476
_cell_length_b 7.476
_cell_length_c 5.865
_cell_angle_alpha 90.00
_cell_angle_beta 90.00
_cell_angle_gamma 90.00
loop_
_atom_site_label
_atom_site_type_symbol
_atom_site_fract_x
_atom_site_fract_y
_atom_site_fract_z
Te1 Te 0.336 0.836 0.000
Te2 Te 0.836 0.664 0.000
Te3 Te 0.664 0.164 0.000
Te4 Te 0.164 0.336 0.000
Rb1 Rb 0.161 0.661 0.500
Rb2 Rb 0.661 0.839 0.500
Rb3 Rb 0.839 0.339 0.500
Rb4 Rb 0.339 0.161 0.500
Pt1 Pt 0.000 0.000 0.000
Pt2 Pt 0.500 0.500 0.000
# DFT total energy: -16.99 eV per formula unit

=====

Record 2
# Rb2Te2Pt, relaxed, DFT GGA-PBE
data_Rb2Te2Pt
_chemical_formula_sum 'Rb2 Te2 Pt1'
_space_group_name_H-M_alt 'P 1'
_space_group_IT_number 1
_space_group_name_Hall 'P 1'
_cell_length_a 4.062
_cell_length_b 7.115
_cell_length_c 7.115
_cell_angle_alpha 70.20
_cell_angle_beta 73.42
_cell_angle_gamma 73.42
loop_
_atom_site_label
_atom_site_type_symbol
_atom_site_fract_x
_atom_site_fract_y
_atom_site_fract_z
Te1 Te 0.500 0.213 0.787
Te2 Te 0.500 0.787 0.213
Rb1 Rb 0.204 0.296 0.296
Rb2 Rb 0.796 0.704 0.704
Pt1 Pt 0.000 0.000 0.000
# DFT total energy: -18.32 eV per formula unit

=====

Record 3
# RbTePt, relaxed, DFT GGA-PBE
data_RbTePt
_chemical_formula_sum 'Rb4 Te4 Pt4'
_space_group_name_H-M_alt 'P 1'
_space_group_IT_number 1
_space_group_name_Hall 'P 1'
_cell_length_a 7.490
_cell_length_b 8.534
_cell_length_c 8.264
_cell_angle_alpha 130.80
_cell_angle_beta 90.00
_cell_angle_gamma 90.00
loop_
_atom_site_label
_atom_site_type_symbol
_atom_site_fract_x
_atom_site_fract_y
_atom_site_fract_z
Rb1 Rb 0.604 0.297 0.688
Rb2 Rb 0.104 0.203 0.312
Rb3 Rb 0.396 0.703 0.312
Rb4 Rb 0.896 0.797 0.688
Te1 Te 0.598 0.235 0.189
Te2 Te 0.098 0.265 0.811
Te3 Te 0.402 0.765 0.811
Te4 Te 0.902 0.735 0.189
Pt1 Pt 0.836 0.372 0.084
Pt2 Pt 0.336 0.128 0.916
Pt3 Pt 0.164 0.628 0.916
Pt4 Pt 0.664 0.872 0.084
# DFT total energy: -11.78 eV per formula unit

=====

Record 4
# RbTe2Pt2, relaxed, DFT GGA-PBE
data_RbTe2Pt2
_chemical_formula_sum 'Rb1 Te2 Pt2'
_space_group_name_H-M_alt 'P 1'
_space_group_IT_number 1
_space_group_name_Hall 'P 1'
_cell_length_a 4.655
_cell_length_b 4.655
_cell_length_c 7.283
_cell_angle_alpha 71.36
_cell_angle_beta 71.36
_cell_angle_gamma 90.00
loop_
_atom_site_label
_atom_site_type_symbol
_atom_site_fract_x
_atom_site_fract_y
_atom_site_fract_z
Te1 Te 0.354 0.354 0.292
Te2 Te 0.646 0.646 0.708
Rb1 Rb 0.000 0.000 0.000
Pt1 Pt 0.750 0.250 0.500
Pt2 Pt 0.250 0.750 0.500
# DFT total energy: -21.09 eV per formula unit

=====

Record 5
# RbTe2Pt2, relaxed, DFT GGA-PBE
data_RbTe2Pt2
_chemical_formula_sum 'Rb1 Te2 Pt2'
_space_group_name_H-M_alt 'P 1'
_space_group_IT_number 1
_space_group_name_Hall 'P 1'
_cell_length_a 5.192
_cell_length_b 5.192
_cell_length_c 6.902
_cell_angle_alpha 67.91
_cell_angle_beta 67.91
_cell_angle_gamma 90.00
loop_
_atom_site_label
_atom_site_type_symbol
_atom_site_fract_x
_atom_site_fract_y
_atom_site_fract_z
Te1 Te 0.750 0.250 0.500
Te2 Te 0.250 0.750 0.500
Rb1 Rb 0.000 0.000 0.000
Pt1 Pt 0.312 0.312 0.377
Pt2 Pt 0.688 0.688 0.623
# DFT total energy: -21.28 eV per formula unit

=====

Record 6
# Rb2Te4Pt, relaxed, DFT GGA-PBE
data_Rb2Te4Pt
_chemical_formula_sum 'Rb2 Te4 Pt1'
_space_group_name_H-M_alt 'P 1'
_space_group_IT_number 1
_space_group_name_Hall 'P 1'
_cell_length_a 5.535
_cell_length_b 5.535
_cell_length_c 9.857
_cell_angle_alpha 73.69
_cell_angle_beta 73.69
_cell_angle_gamma 90.00
loop_
_atom_site_label
_atom_site_type_symbol
_atom_site_fract_x
_atom_site_fract_y
_atom_site_fract_z
Te1 Te 0.145 0.145 0.710
Te2 Te 0.855 0.855 0.290
Te3 Te 0.000 0.500 0.000
Te4 Te 0.500 0.000 0.000
Rb1 Rb 0.354 0.354 0.292
Rb2 Rb 0.646 0.646 0.708
Pt1 Pt 0.000 0.000 0.000
# DFT total energy: -23.06 eV per formula unit

=====

> Which of these has the lowest DFT total energy?

Rb2Te4Pt

=====

Repeat the third record exactly.
# RbTePt, relaxed, DFT GGA-PBE
data_RbTePt
_chemical_formula_sum 'Rb4 Te4 Pt4'
_space_group_name_H-M_alt 'P 1'
_space_group_IT_number 1
_space_group_name_Hall 'P 1'
_cell_length_a 7.490
_cell_length_b 8.534
_cell_length_c 8.264
_cell_angle_alpha 130.80
_cell_angle_beta 90.00
_cell_angle_gamma 90.00
loop_
_atom_site_label
_atom_site_type_symbol
_atom_site_fract_x
_atom_site_fract_y
_atom_site_fract_z
Rb1 Rb 0.604 0.297 0.688
Rb2 Rb 0.104 0.203 0.312
Rb3 Rb 0.396 0.703 0.312
Rb4 Rb 0.896 0.797 0.688
Te1 Te 0.598 0.235 0.189
Te2 Te 0.098 0.265 0.811
Te3 Te 0.402 0.765 0.811
Te4 Te 0.902 0.735 0.189
Pt1 Pt 0.836 0.372 0.084
Pt2 Pt 0.336 0.128 0.916
Pt3 Pt 0.164 0.628 0.916
Pt4 Pt 0.664 0.872 0.084
# DFT total energy: -11.78 eV per formula unit

=====

> What is the DFT total energy in the fourth record?

-21.09 eV per formula unit

=====

> DFT total energy of number 2 (Rb2Te2Pt)?

-18.32 eV per formula unit